# TcMoO4 (PBE with a Hubbard U, relaxed)
data_TcMoO4
_chemical_formula_sum 'Tc2 Mo2 O8'
_cell_length_a 5.1515
_cell_length_b 4.6902
_cell_length_c 5.7200
_cell_angle_alpha 90.00
_cell_angle_beta 90.00
_cell_angle_gamma 90.00
_symmetry_space_group_name_H-M 'P n c 2'
_symmetry_Int_Tables_number 30
loop_
_symmetry_equiv_pos_as_xyz
'x,y,z'
'-x,-y,z'
'-x,y+1/2,z+1/2'
'x,-y+1/2,z+1/2'
loop_
_atom_site_label
_atom_site_type_symbol
_atom_site_fract_x
_atom_site_fract_y
_atom_site_fract_z
Tc1 Tc 0.0000 0.0000 0.0000
Mo1 Mo 0.5000 0.0000 0.2645
O1 O 0.1519 0.2460 0.2564
O2 O 0.3314 0.7362 0.5007
# Crystal system: orthorhombic
# N(E_F): 1.99 states/eV/f.u.
# Volume: 138 Å³/cell
# E: -7.691 eV/atom